The following is a DFT calculation (PBE-GGA) of a relaxed structure of YSc2ZnN.

Values from the calculation:
Symmetry: P4/mmm
Formation energy without anion corrections, eV per atom: -0.898

POSCAR file:
```
YSc2ZnN
1.0
-4.415 -0.321 0.286
0.398 -4.163 1.480
0.173 1.609 4.480
N Zn Sc Y
1 1 2 1
Direct
0.000 0.000 0.000
0.500 0.500 0.500
0.500 0.000 0.000
0.000 0.500 0.000
0.000 0.000 0.500
```



The following is a DFT calculation (PBE-GGA) of a relaxed structure of TaCd2B.

Values from the calculation:
Symmetry: I-42d
Formation enthalpy at 0 K, eV per atom: 0.77

POSCAR file:
```
TaCd2B
1.0
7.561 0.000 0.000
0.000 7.561 0.000
3.780 3.780 2.423
Cd B Ta
4 2 2
Direct
0.375 0.453 0.750
0.547 0.125 0.250
0.875 0.797 0.750
0.203 0.625 0.250
0.250 0.750 0.500
0.500 0.500 0.000
0.000 0.000 0.000
0.750 0.250 0.500
```